(1)
TlZnInNiAsPt: optimized geometry, PBE.

The structure in POSCAR format:
```
TlZnInNiAsPt
1.0
4.208 0.000 0.000
-2.104 3.644 0.000
0.000 0.000 27.230
Ni Zn Pt As Tl In
3 3 3 3 3 3
direct
0.000 0.000 0.011
0.333 0.667 0.678
0.667 0.333 0.345
0.000 0.000 0.679
0.333 0.667 0.346
0.667 0.333 0.012
0.000 0.000 0.384
0.333 0.667 0.051
0.667 0.333 0.717
0.000 0.000 0.929
0.333 0.667 0.596
0.667 0.333 0.262
0.000 0.000 0.212
0.333 0.667 0.879
0.667 0.333 0.546
0.000 0.000 0.106
0.333 0.667 0.773
0.667 0.333 0.439
```

Results
Excess energy over the best structure of this formula in the dataset, meV per atom: 145
Space-group type: R3m (160)

(2)
TlZnInNiAsPt: optimized geometry, PBE.

The structure in POSCAR format:
```
TlZnInNiAsPt
1.0
3.454 -0.013 -0.007
-1.719 4.788 -0.007
-1.704 -0.644 7.285
Tl Zn In Ni As Pt
1 1 1 1 1 1
direct
0.098 0.241 0.887
0.448 0.369 0.460
0.027 0.763 0.221
0.769 0.957 0.518
0.236 0.742 0.668
0.736 0.203 0.200
```

Results
Excess energy over the best structure of this formula in the dataset, meV per atom: 66
Space-group type: P1 (1)

(3)
TlZnInNiAsPt: optimized geometry, PBE.

The structure in POSCAR format:
```
TlZnInNiAsPt
1.0
-2.575 -3.025 0.700
3.918 -0.776 -0.561
1.427 0.829 8.830
Tl Zn In Ni As Pt
1 1 1 1 1 1
direct
0.333 0.667 0.864
0.333 0.667 0.435
0.000 0.000 0.150
0.667 0.333 0.589
0.000 0.000 0.618
0.667 0.333 0.298
```

Results
Excess energy over the best structure of this formula in the dataset, meV per atom: 30
Space-group type: P3m1 (156)

(4)
TlZnInNiAsPt: optimized geometry, PBE.

The structure in POSCAR format:
```
TlZnInNiAsPt
1.0
-3.895 1.054 0.791
0.998 -1.628 -3.672
-0.222 -6.406 7.461
Ni Zn Pt As Tl In
1 1 1 1 1 1
direct
0.381 0.184 0.460
0.786 0.995 0.568
0.193 0.810 0.680
0.996 0.414 0.381
0.144 0.722 0.119
0.631 0.685 0.838
```

Results
Excess energy over the best structure of this formula in the dataset, meV per atom: 0
Space-group type: P1 (1)

(5)
TlZnInNiAsPt: optimized geometry, PBE.

The structure in POSCAR format:
```
TlZnInNiAsPt
1.0
4.065 0.000 0.000
0.000 3.569 0.000
0.000 0.000 16.684
Tl Zn In Ni As Pt
2 2 2 2 2 2
direct
0.000 0.000 0.731
0.500 0.500 0.231
0.000 0.500 0.528
0.500 0.000 0.028
0.000 0.000 0.385
0.500 0.500 0.885
0.000 0.500 0.032
0.500 0.000 0.532
0.000 0.000 0.125
0.500 0.500 0.625
0.000 0.000 0.915
0.500 0.500 0.415
```

Results
Excess energy over the best structure of this formula in the dataset, meV per atom: 32
Space-group type: Imm2 (44)

(6)
TlZnInNiAsPt: optimized geometry, PBE.

The structure in POSCAR format:
```
TlZnInNiAsPt
1.0
-3.621 -1.802 -1.179
1.748 -2.586 -1.416
-0.285 -4.121 7.174
Tl Zn In Ni As Pt
1 1 1 1 1 1
direct
0.500 0.000 0.116
0.500 0.500 0.519
0.000 0.500 0.800
0.000 0.000 0.523
0.000 0.500 0.325
0.500 0.000 0.762
```

Results
Excess energy over the best structure of this formula in the dataset, meV per atom: 17
Space-group type: Pmm2 (25)